1.
A relaxed structure of MgNbRe4, computed with PBE-GGA.

Output
Total DFT energy (no corrections), eV/atom: -10.205
Fermi-level density of states, states/eV per cell: 27.96

Structure (CIF):
```
data_MgNbRe4
_chemical_formula_sum 'Mg4 Nb4 Re16'
_space_group_name_H-M_alt 'F -4 3 m'
_space_group_IT_number 216
_space_group_name_Hall 'F -4 2 3'
_cell_length_a 7.3820
_cell_length_b 7.3820
_cell_length_c 7.3820
_cell_angle_alpha 90.00
_cell_angle_beta 90.00
_cell_angle_gamma 90.00
loop_
_atom_site_label
_atom_site_fract_x
_atom_site_fract_y
_atom_site_fract_z
Mg1 0.0000 0.0000 0.0000
Nb1 0.2500 0.2500 0.7500
Re1 0.1251 0.1251 0.3749
```

2.
A relaxed structure of CsRbI3, computed with PBE-GGA.

Output
Formation energy without anion corrections, eV per atom: -0.925
Excess energy over the best structure of this formula in the dataset, meV/atom: 0
Fermi-level density of states, states/eV per cell: 17.07

Structure (CIF):
```
data_CsRbI3
_chemical_formula_sum 'Cs1 Rb1 I3'
_space_group_name_H-M_alt 'P m -3 m'
_space_group_IT_number 221
_space_group_name_Hall '-P 4 2 3'
_cell_length_a 6.9260
_cell_length_b 6.9260
_cell_length_c 6.9260
_cell_angle_alpha 90.00
_cell_angle_beta 90.00
_cell_angle_gamma 90.00
loop_
_atom_site_label
_atom_site_fract_x
_atom_site_fract_y
_atom_site_fract_z
Cs1 0.0000 0.0000 0.0000
Rb1 0.5000 0.5000 0.5000
I1 0.0000 0.5000 0.5000
```